(1)
Cd2SiIr: relaxed, GGA-PBE.

Results
formation energy without anion corrections	0.380	eV/atom

Cell: 2.9218 2.9218 8.7040 Å, 90.00 90.00 90.00°
Space group P4/mmm (No. 123)
One atom of each set of equivalent atoms:
Cd 0.0000 0.0000 0.2260 [2 per cell]
Si 0.5000 0.5000 0.5000 [1 per cell]
Ir 0.5000 0.5000 0.0000 [1 per cell]

---

(2)
CdSi2Ir: relaxed, GGA-PBE.

Results
formation energy without anion corrections	0.039	eV/atom

Cell: 3.5283 4.2645 4.8575 Å, 90.00 110.74 90.00°
Space group Pm (No. 6)
One atom of each set of equivalent atoms:
Cd 0.0000 0.0000 0.0000 [1 per cell]
Si 0.2899 0.5000 0.5965 [1 per cell]
Si 0.7203 0.0000 0.4558 [1 per cell]
Ir 0.5992 0.5000 0.2063 [1 per cell]

---

(3)
CdSiIr2: relaxed, GGA-PBE.

Results
formation energy without anion corrections	0.110	eV/atom

Cell: 2.8916 2.8916 26.3025 Å, 90.00 90.00 120.00°
Space group R3m (No. 160, hexagonal axes)
One atom of each set of equivalent atoms:
Cd 0.0000 0.0000 0.0000 [3 per cell]
Si 0.0000 0.0000 0.7597 [3 per cell]
Ir 0.0000 0.0000 0.2458 [3 per cell]
Ir 0.0000 0.0000 0.4929 [3 per cell]